A plane-wave DFT calculation with PBE-GGA was carried out for a relaxed CsMg2Tl2 crystal.

- size of the total moment (Bohr magnetons per cell) = 0.00
- energy relative to the elements (eV per formula unit) = 0.015

Geometry as CIF:
```
data_CsMg2Tl2
_cell_length_a 5.104
_cell_length_b 8.330
_cell_length_c 9.121
_cell_angle_alpha 90.00
_cell_angle_beta 90.00
_cell_angle_gamma 90.00
_space_group_name_H-M_alt 'C m m m'
_space_group_IT_number 65
_space_group_name_Hall '-C 2 2'
loop_
_atom_site_label
_atom_site_type_symbol
_atom_site_fract_x
_atom_site_fract_y
_atom_site_fract_z
Cs1 Cs 0.000 0.000 0.000
Mg1 Mg 0.000 0.171 0.500
Tl1 Tl 0.000 0.500 0.315
```

A plane-wave DFT calculation with PBE-GGA was carried out for a relaxed CsMgTl crystal.

- size of the total moment (Bohr magnetons per cell) = 0.00
- energy relative to the elements (eV per formula unit) = -0.167

Geometry as CIF:
```
data_CsMgTl
_cell_length_a 8.658
_cell_length_b 5.007
_cell_length_c 13.325
_cell_angle_alpha 90.00
_cell_angle_beta 99.91
_cell_angle_gamma 90.00
_space_group_name_H-M_alt 'C 1 2/m 1'
_space_group_IT_number 12
loop_
_space_group_symop_operation_xyz
'x,y,z'
'-x,-y,-z'
'-x,y,-z'
'x,-y,z'
'x+1/2,y+1/2,z'
'-x+1/2,-y+1/2,-z'
'-x+1/2,y+1/2,-z'
'x+1/2,-y+1/2,z'
loop_
_atom_site_label
_atom_site_type_symbol
_atom_site_fract_x
_atom_site_fract_y
_atom_site_fract_z
Cs1 Cs 0.249 0.000 0.311
Mg1 Mg 0.157 0.000 0.961
Tl1 Tl 0.032 0.500 0.124
```

A plane-wave DFT calculation with PBE-GGA was carried out for a relaxed CsMg4Tl6 crystal.

- size of the total moment (Bohr magnetons per cell) = 0.00
- energy relative to the elements (eV per formula unit) = -0.330

Geometry as CIF:
```
data_CsMg4Tl6
_cell_length_a 8.8272
_cell_length_b 8.8272
_cell_length_c 4.9441
_cell_angle_alpha 90.00
_cell_angle_beta 90.00
_cell_angle_gamma 120.00
_space_group_name_H-M_alt 'P -6 m 2'
_space_group_IT_number 187
_space_group_name_Hall 'P -6 2'
loop_
_atom_site_label
_atom_site_type_symbol
_atom_site_fract_x
_atom_site_fract_y
_atom_site_fract_z
Cs1 Cs 0.0000 0.0000 0.0000
Mg1 Mg 0.3333 0.6667 0.0000
Mg2 Mg 0.4270 0.2135 0.5000
Tl1 Tl 0.2011 0.4022 0.5000
Tl2 Tl 0.5334 0.0669 0.0000
```

A plane-wave DFT calculation with PBE-GGA was carried out for a relaxed CsMg6Tl6 crystal.

- size of the total moment (Bohr magnetons per cell) = 0.00
- energy relative to the elements (eV per formula unit) = -0.271

Geometry as CIF:
```
data_CsMg6Tl6
_cell_length_a 6.402
_cell_length_b 10.362
_cell_length_c 10.896
_cell_angle_alpha 90.00
_cell_angle_beta 90.00
_cell_angle_gamma 90.00
_space_group_name_H-M_alt 'I m m m'
_space_group_IT_number 71
_space_group_name_Hall '-I 2 2'
loop_
_atom_site_label
_atom_site_type_symbol
_atom_site_fract_x
_atom_site_fract_y
_atom_site_fract_z
Cs1 Cs 0.000 0.000 0.000
Mg1 Mg 0.000 0.259 0.500
Mg2 Mg 0.250 0.250 0.250
Tl1 Tl 0.000 0.000 0.347
Tl2 Tl 0.000 0.349 0.000
Tl3 Tl 0.000 0.500 0.310
```

A plane-wave DFT calculation with PBE-GGA was carried out for a relaxed CsMg6Tl12 crystal.

- size of the total moment (Bohr magnetons per cell) = 0.00
- energy relative to the elements (eV per formula unit) = 0.203

Geometry as CIF:
```
data_CsMg6Tl12
_cell_length_a 13.8010
_cell_length_b 13.8010
_cell_length_c 10.5477
_cell_angle_alpha 90.00
_cell_angle_beta 90.00
_cell_angle_gamma 120.00
_space_group_name_H-M_alt 'R -3 m'
_space_group_IT_number 166
_space_group_name_Hall '-R 3 2"'
loop_
_atom_site_label
_atom_site_type_symbol
_atom_site_fract_x
_atom_site_fract_y
_atom_site_fract_z
Cs1 Cs 0.0000 0.0000 0.0000
Mg1 Mg 0.0415 0.5207 0.2531
Tl1 Tl 0.0000 0.3821 0.5000
Tl2 Tl 0.0866 0.1732 0.3281
```

A plane-wave DFT calculation with PBE-GGA was carried out for a relaxed Cs3Mg2Tl7 crystal.

- size of the total moment (Bohr magnetons per cell) = 0.00
- energy relative to the elements (eV per formula unit) = -0.654

Geometry as CIF:
```
data_Cs3Mg2Tl7
_cell_length_a 6.9376
_cell_length_b 6.9376
_cell_length_c 31.0532
_cell_angle_alpha 90.00
_cell_angle_beta 90.00
_cell_angle_gamma 120.00
_space_group_name_H-M_alt 'R -3 m'
_space_group_IT_number 166
_space_group_name_Hall '-R 3 2"'
loop_
_atom_site_label
_atom_site_type_symbol
_atom_site_fract_x
_atom_site_fract_y
_atom_site_fract_z
Cs1 Cs 0.0000 0.0000 0.0000
Cs2 Cs 0.0000 0.0000 0.1425
Mg1 Mg 0.0000 0.0000 0.3340
Tl1 Tl 0.0000 0.0000 0.5000
Tl2 Tl 0.0025 0.5012 0.9225
```

A plane-wave DFT calculation with PBE-GGA was carried out for a relaxed CsMgTl crystal.

- size of the total moment (Bohr magnetons per cell) = 0.00
- energy relative to the elements (eV per formula unit) = -0.093

Geometry as CIF:
```
data_CsMgTl
_cell_length_a 5.158
_cell_length_b 5.158
_cell_length_c 9.440
_cell_angle_alpha 90.00
_cell_angle_beta 90.00
_cell_angle_gamma 90.00
_space_group_name_H-M_alt 'P 4/n m m'
_space_group_IT_number 129
loop_
_space_group_symop_operation_xyz
'x,y,z'
'-x,-y,-z'
'-y+1/2,x,z'
'y+1/2,-x,-z'
'-x+1/2,-y+1/2,z'
'x+1/2,y+1/2,-z'
'y,-x+1/2,z'
'-y,x+1/2,-z'
'x+1/2,-y,-z'
'-x+1/2,y,z'
'-y,-x,-z'
'y,x,z'
'-x,y+1/2,-z'
'x,-y+1/2,z'
'y+1/2,x+1/2,-z'
'-y+1/2,-x+1/2,z'
loop_
_atom_site_label
_atom_site_type_symbol
_atom_site_fract_x
_atom_site_fract_y
_atom_site_fract_z
Cs1 Cs 0.250 0.250 0.155
Mg1 Mg 0.250 0.750 0.500
Tl1 Tl 0.250 0.250 0.668
```

A plane-wave DFT calculation with PBE-GGA was carried out for a relaxed CsMgTl3 crystal.

- size of the total moment (Bohr magnetons per cell) = 0.00
- energy relative to the elements (eV per formula unit) = -0.355

Geometry as CIF:
```
data_CsMgTl3
_cell_length_a 8.505
_cell_length_b 5.023
_cell_length_c 9.279
_cell_angle_alpha 90.00
_cell_angle_beta 106.17
_cell_angle_gamma 90.00
_space_group_name_H-M_alt 'P 1 21/m 1'
_space_group_IT_number 11
loop_
_space_group_symop_operation_xyz
'x,y,z'
'-x,-y,-z'
'-x,y+1/2,-z'
'x,-y+1/2,z'
loop_
_atom_site_label
_atom_site_type_symbol
_atom_site_fract_x
_atom_site_fract_y
_atom_site_fract_z
Cs1 Cs 0.234 0.250 0.465
Mg1 Mg 0.398 0.250 0.015
Tl1 Tl 0.022 0.250 0.897
Tl2 Tl 0.232 0.750 0.804
Tl3 Tl 0.364 0.750 0.195
```

A plane-wave DFT calculation with PBE-GGA was carried out for a relaxed CsMg2Tl7 crystal.

- size of the total moment (Bohr magnetons per cell) = 0.00
- energy relative to the elements (eV per formula unit) = 1.282

Geometry as CIF:
```
data_CsMg2Tl7
_cell_length_a 8.923
_cell_length_b 16.913
_cell_length_c 5.165
_cell_angle_alpha 90.00
_cell_angle_beta 90.00
_cell_angle_gamma 90.00
_space_group_name_H-M_alt 'C m m m'
_space_group_IT_number 65
_space_group_name_Hall '-C 2 2'
loop_
_atom_site_label
_atom_site_type_symbol
_atom_site_fract_x
_atom_site_fract_y
_atom_site_fract_z
Cs1 Cs 0.000 0.000 0.000
Mg1 Mg 0.000 0.326 0.500
Tl1 Tl 0.000 0.246 0.000
Tl2 Tl 0.000 0.500 0.500
Tl3 Tl 0.180 0.155 0.500
```

A plane-wave DFT calculation with PBE-GGA was carried out for a relaxed CsMg2Tl10 crystal.

- size of the total moment (Bohr magnetons per cell) = 0.00
- energy relative to the elements (eV per formula unit) = -0.245

Geometry as CIF:
```
data_CsMg2Tl10
_cell_length_a 6.442
_cell_length_b 15.574
_cell_length_c 16.348
_cell_angle_alpha 90.00
_cell_angle_beta 90.00
_cell_angle_gamma 90.00
_space_group_name_H-M_alt 'F m m m'
_space_group_IT_number 69
_space_group_name_Hall '-F 2 2'
loop_
_atom_site_label
_atom_site_type_symbol
_atom_site_fract_x
_atom_site_fract_y
_atom_site_fract_z
Cs1 Cs 0.000 0.000 0.000
Mg1 Mg 0.250 0.000 0.250
Tl1 Tl 0.000 0.106 0.385
Tl2 Tl 0.000 0.175 0.182
Tl3 Tl 0.250 0.250 0.000
```

A plane-wave DFT calculation with PBE-GGA was carried out for a relaxed Cs2MgTl12 crystal.

- size of the total moment (Bohr magnetons per cell) = 0.00
- energy relative to the elements (eV per formula unit) = -0.029

Geometry as CIF:
```
data_Cs2MgTl12
_cell_length_a 7.402
_cell_length_b 7.402
_cell_length_c 19.548
_cell_angle_alpha 90.00
_cell_angle_beta 90.00
_cell_angle_gamma 90.00
_space_group_name_H-M_alt 'P 4/n b m'
_space_group_IT_number 125
loop_
_space_group_symop_operation_xyz
'x,y,z'
'-x,-y,-z'
'-y+1/2,x,z'
'y+1/2,-x,-z'
'-x+1/2,-y+1/2,z'
'x+1/2,y+1/2,-z'
'y,-x+1/2,z'
'-y,x+1/2,-z'
'x,-y+1/2,-z'
'-x,y+1/2,z'
'-y+1/2,-x+1/2,-z'
'y+1/2,x+1/2,z'
'-x+1/2,y,-z'
'x+1/2,-y,z'
'y,x,-z'
'-y,-x,z'
loop_
_atom_site_label
_atom_site_type_symbol
_atom_site_fract_x
_atom_site_fract_y
_atom_site_fract_z
Cs1 Cs 0.250 0.750 0.249
Mg1 Mg 0.250 0.750 0.000
Tl1 Tl 0.000 0.000 0.083
Tl2 Tl 0.086 0.586 0.435
Tl3 Tl 0.250 0.250 0.177
Tl4 Tl 0.250 0.250 0.346
```

A plane-wave DFT calculation with PBE-GGA was carried out for a relaxed CsMgTl crystal.

- size of the total moment (Bohr magnetons per cell) = 0.00
- energy relative to the elements (eV per formula unit) = 0.124

Geometry as CIF:
```
data_CsMgTl
_cell_length_a 4.068
_cell_length_b 4.068
_cell_length_c 14.349
_cell_angle_alpha 90.00
_cell_angle_beta 90.00
_cell_angle_gamma 90.00
_space_group_name_H-M_alt 'I 4 m m'
_space_group_IT_number 107
_space_group_name_Hall 'I 4 -2'
loop_
_atom_site_label
_atom_site_type_symbol
_atom_site_fract_x
_atom_site_fract_y
_atom_site_fract_z
Cs1 Cs 0.000 0.000 0.000
Mg1 Mg 0.000 0.000 0.282
Tl1 Tl 0.000 0.000 0.706
```